! Mg2TlPb6, relaxed, DFT PBE-GGA; values from VASP
&SYSTEM
  ibrav = 0, nat = 9, ntyp = 3
/
ATOMIC_SPECIES
Pb 207.20 Pb.upf
Tl 204.38 Tl.upf
Mg 24.30 Mg.upf
ATOMIC_POSITIONS crystal
Pb 0.333 0.667 0.766
Pb 0.667 0.333 0.119
Pb 0.333 0.667 0.567
Pb 0.333 0.667 0.433
Pb 0.333 0.667 0.234
Pb 0.667 0.333 0.881
Tl 0.333 0.667 0.000
Mg 0.667 0.333 0.334
Mg 0.667 0.333 0.666
CELL_PARAMETERS angstrom
-2.057 -1.874 -2.253
3.185 -1.287 1.007
-10.397 -11.086 18.711
! * ρ: 9285 kg/m3
! * energy relative to the lowest polymorph listed for this composition: 0 meV per atom
! * total magnetization: 0.000 μB per cell
! * crystal system: hexagonal